Density functional theory data (PBE with a Hubbard U) for CrCl2F after structural relaxation.

Lattice parameters (Å, degrees): 4.5347 4.5347 19.8640 90.00 90.00 120.00
Fractional coordinates of all 12 atoms:
Cr: 0.0000 0.0000 0.0000
Cr: 0.3333 0.6667 0.6667
Cr: 0.6667 0.3333 0.3333
Cl: 0.0000 0.0000 0.1078
Cl: 0.0000 0.0000 0.8922
Cl: 0.3333 0.6667 0.5589
Cl: 0.3333 0.6667 0.7744
Cl: 0.6667 0.3333 0.2256
Cl: 0.6667 0.3333 0.4411
F: 0.0000 0.0000 0.5000
F: 0.3333 0.6667 0.1667
F: 0.6667 0.3333 0.8333

- space-group type = R-3m (166)
- polymorph energy (0 for the lowest one) (meV per atom) = 1426